Material: NdV2PdO8
Method: DFT, PBE+U
State: optimized geometry

Geometry as POSCAR:
```
NdV2PdO8
1.0
-4.443 1.895 -2.922
-0.611 -4.323 3.579
-1.401 4.236 4.877
O Nd Pd V
8 1 1 2
Direct
0.158 0.842 0.789 O
0.842 0.158 0.211 O
0.842 0.684 0.211 O
0.333 0.667 0.471 O
0.316 0.158 0.211 O
0.684 0.842 0.789 O
0.158 0.316 0.789 O
0.667 0.333 0.529 O
0.000 0.000 0.500 Nd
0.000 0.000 0.000 Pd
0.667 0.333 0.276 V
0.333 0.667 0.724 V
```

* total magnetic moment: 1.0 μB per formula unit
* raw total energy: -7.167 eV/atom